Version w
Computed, not measured: an optimized crystal structure of Ba4Hg2Au at the GGA-PBE level of DFT. Values from VASP.

Its theoretical density is 5.62 g/cm³. The space group is I4/mmm (139).

Geometry as Quantum ESPRESSO input:
```
&SYSTEM
  ibrav = 0, nat = 7, ntyp = 3
/
ATOMIC_SPECIES
Ba 137.33 Ba.upf
Hg 200.59 Hg.upf
Au 196.97 Au.upf
CELL_PARAMETERS angstrom
-3.182 3.182 8.365
3.182 -3.182 8.365
3.182 3.182 -8.365
ATOMIC_POSITIONS crystal
Ba 0.000 0.500 0.500
Ba 0.199 0.199 0.000
Ba 0.500 0.000 0.500
Ba 0.801 0.801 0.000
Hg 0.403 0.403 0.000
Hg 0.597 0.597 0.000
Au 0.000 0.000 0.000
```


Version x
Computed, not measured: an optimized crystal structure of Ba4Hg2Au at the GGA-PBE level of DFT. Values from VASP.

Its theoretical density is 6.62 g/cm³. The space group is C2/m (12).

Geometry as Quantum ESPRESSO input:
```
&SYSTEM
  ibrav = 0, nat = 7, ntyp = 3
/
ATOMIC_SPECIES
Ba 137.33 Ba.upf
Hg 200.59 Hg.upf
Au 196.97 Au.upf
CELL_PARAMETERS angstrom
5.097 -2.936 0.000
5.097 2.936 0.000
-3.406 0.000 9.620
ATOMIC_POSITIONS crystal
Ba 0.121 0.121 0.362
Ba 0.371 0.371 0.112
Ba 0.629 0.629 0.888
Ba 0.879 0.879 0.638
Hg 0.246 0.246 0.736
Hg 0.754 0.754 0.264
Au 0.000 0.000 0.000
```


version x (7.9 kJ/mol of atoms below the next structure)


Version w
Computed, not measured: an optimized crystal structure of BaInHgAu2 at the GGA-PBE level of DFT. Values from VASP.

Its theoretical density is 10.35 g/cm³. The space group is I-4m2 (119).

Geometry as Quantum ESPRESSO input:
```
&SYSTEM
  ibrav = 0, nat = 5, ntyp = 4
/
ATOMIC_SPECIES
Ba 137.33 Ba.upf
In 114.82 In.upf
Hg 200.59 Hg.upf
Au 196.97 Au.upf
CELL_PARAMETERS angstrom
-2.306 2.306 6.386
2.306 -2.306 6.386
2.306 2.306 -6.386
ATOMIC_POSITIONS crystal
Ba 0.000 0.000 0.000
In 0.750 0.250 0.500
Hg 0.250 0.750 0.500
Au 0.391 0.391 0.000
Au 0.609 0.609 0.000
```


Version x
Computed, not measured: an optimized crystal structure of BaInHgAu2 at the GGA-PBE level of DFT. Values from VASP.

Its theoretical density is 5.24 g/cm³. The space group is P4/mmm (123).

Geometry as Quantum ESPRESSO input:
```
&SYSTEM
  ibrav = 0, nat = 5, ntyp = 4
/
ATOMIC_SPECIES
Ba 137.33 Ba.upf
In 114.82 In.upf
Hg 200.59 Hg.upf
Au 196.97 Au.upf
CELL_PARAMETERS angstrom
6.166 0.000 0.000
0.000 6.166 0.000
0.000 0.000 7.052
ATOMIC_POSITIONS crystal
Ba 0.000 0.000 0.000
In 0.000 0.000 0.500
Hg 0.500 0.500 0.500
Au 0.000 0.500 0.000
Au 0.500 0.000 0.000
```


version w (86.5 kJ/mol of atoms below the next structure)


Version w
Computed, not measured: an optimized crystal structure of KBaHgAu at the GGA-PBE level of DFT. Values from VASP.

Its theoretical density is 6.56 g/cm³. The space group is Amm2 (38).

Geometry as Quantum ESPRESSO input:
```
&SYSTEM
  ibrav = 0, nat = 4, ntyp = 4
/
ATOMIC_SPECIES
K 39.10 K.upf
Ba 137.33 Ba.upf
Hg 200.59 Hg.upf
Au 196.97 Au.upf
CELL_PARAMETERS angstrom
4.838 0.000 0.000
0.000 2.372 6.333
0.000 -2.372 6.333
ATOMIC_POSITIONS crystal
K 0.000 0.000 0.000
Ba 0.500 0.283 0.283
Hg 0.500 0.574 0.574
Au 0.000 0.719 0.719
```


Version x
Computed, not measured: an optimized crystal structure of KBaHgAu at the GGA-PBE level of DFT. Values from VASP.

Its theoretical density is 7.01 g/cm³. The space group is F-43m (216).

Geometry as Quantum ESPRESSO input:
```
&SYSTEM
  ibrav = 0, nat = 4, ntyp = 4
/
ATOMIC_SPECIES
K 39.10 K.upf
Ba 137.33 Ba.upf
Hg 200.59 Hg.upf
Au 196.97 Au.upf
CELL_PARAMETERS angstrom
0.000 4.081 4.081
4.081 0.000 4.081
4.081 4.081 0.000
ATOMIC_POSITIONS crystal
K 0.000 0.000 0.000
Ba 0.500 0.500 0.500
Hg 0.750 0.750 0.750
Au 0.250 0.250 0.250
```


version w (4.8 kJ/mol of atoms below the next structure)


Version w
Computed, not measured: an optimized crystal structure of Ba2LiHgAu at the GGA-PBE level of DFT. Values from VASP.

Its theoretical density is 5.70 g/cm³. The space group is P4/mmm (123).

Geometry as Quantum ESPRESSO input:
```
&SYSTEM
  ibrav = 0, nat = 5, ntyp = 4
/
ATOMIC_SPECIES
Ba 137.33 Ba.upf
Li 6.94 Li.upf
Hg 200.59 Hg.upf
Au 196.97 Au.upf
CELL_PARAMETERS angstrom
6.326 0.000 0.000
0.000 6.326 0.000
0.000 0.000 4.942
ATOMIC_POSITIONS crystal
Ba 0.000 0.500 0.000
Ba 0.500 0.000 0.000
Li 0.000 0.000 0.500
Hg 0.500 0.500 0.500
Au 0.000 0.000 0.000
```


Version x
Computed, not measured: an optimized crystal structure of Ba2LiHgAu at the GGA-PBE level of DFT. Values from VASP.

Its theoretical density is 6.67 g/cm³. The space group is P2_1/m (11).

Geometry as Quantum ESPRESSO input:
```
&SYSTEM
  ibrav = 0, nat = 10, ntyp = 4
/
ATOMIC_SPECIES
Ba 137.33 Ba.upf
Li 6.94 Li.upf
Hg 200.59 Hg.upf
Au 196.97 Au.upf
CELL_PARAMETERS angstrom
8.411 0.000 0.000
0.000 4.959 0.000
-3.394 0.000 8.108
ATOMIC_POSITIONS crystal
Ba 0.062 0.250 0.215
Ba 0.360 0.750 0.634
Ba 0.640 0.250 0.366
Ba 0.938 0.750 0.785
Li 0.331 0.250 0.931
Li 0.669 0.750 0.069
Hg 0.344 0.750 0.123
Hg 0.656 0.250 0.877
Au 0.081 0.250 0.611
Au 0.919 0.750 0.389
```


version x (11.1 kJ/mol of atoms below the next structure)


Version w
Computed, not measured: an optimized crystal structure of BaLiHgAu at the GGA-PBE level of DFT. Values from VASP.

Its theoretical density is 7.98 g/cm³. The space group is Cm (8).

Geometry as Quantum ESPRESSO input:
```
&SYSTEM
  ibrav = 0, nat = 4, ntyp = 4
/
ATOMIC_SPECIES
Ba 137.33 Ba.upf
Li 6.94 Li.upf
Hg 200.59 Hg.upf
Au 196.97 Au.upf
CELL_PARAMETERS angstrom
4.164 -2.399 0.000
4.164 2.399 0.000
-2.752 0.000 5.644
ATOMIC_POSITIONS crystal
Ba 0.000 0.000 0.000
Li 0.511 0.511 0.534
Hg 0.796 0.796 0.388
Au 0.204 0.204 0.613
```


Version x
Computed, not measured: an optimized crystal structure of BaLiHgAu at the GGA-PBE level of DFT. Values from VASP.

Its theoretical density is 7.79 g/cm³. The space group is F-43m (216).

Geometry as Quantum ESPRESSO input:
```
&SYSTEM
  ibrav = 0, nat = 4, ntyp = 4
/
ATOMIC_SPECIES
Ba 137.33 Ba.upf
Li 6.94 Li.upf
Hg 200.59 Hg.upf
Au 196.97 Au.upf
CELL_PARAMETERS angstrom
0.000 3.865 3.865
3.865 0.000 3.865
3.865 3.865 0.000
ATOMIC_POSITIONS crystal
Ba 0.000 0.000 0.000
Li 0.500 0.500 0.500
Hg 0.750 0.750 0.750
Au 0.250 0.250 0.250
```


version w (11.8 kJ/mol of atoms below the next structure)